Below is a relaxed structure of ZnNiSe2S, with properties calculated at the PBE level.

Total DFT energy (no corrections)   -15.9 eV/f.u.
Formation energy (no corrections)   0.456 eV/atom

a = 4.6237 Å, b = 4.6192 Å, c = 4.6237 Å
α = 90.00°, β = 90.00°, γ = 90.00°
Last column: nearest neighbours and their distance in Å.
Element x y z (fractional)
Ni  0.0000  0.0000  0.0000  2 Zn 2.31, 4 Se 2.31
Zn  0.0000  0.5000  0.0000  2 Ni 2.31
S  0.5000  0.5000  0.5000  8 Se 3.27, 4 Zn 3.27
Se  0.0000  0.0000  0.5000  2 Ni 2.31
Se  0.5000  0.0000  0.0000  2 Ni 2.31

Below is a relaxed structure of K2Cl, with properties calculated at the PBE level.

Offset from the most stable computed form   152 meV per atom
Total DFT energy (no corrections)   -7.3 eV/f.u.
Formation energy (no corrections)   -1.092 eV/atom

a = 5.1120 Å, b = 5.1120 Å, c = 15.9037 Å
α = 90.00°, β = 90.00°, γ = 120.00°
Last column: nearest neighbours and their distance in Å.
Element x y z (fractional)
K  0.0000  0.0000  0.0000  6 Cl 4.95, 12 K 4.95-5.11
K  0.0000  0.0000  0.5000  6 Cl 4.95, 12 K 4.95-5.11
K  0.3333  0.6667  0.2500  3 Cl 2.95
K  0.6667  0.3333  0.7500  3 Cl 2.95
Cl  0.6667  0.3333  0.2500  3 K 2.95
Cl  0.3333  0.6667  0.7500  3 K 2.95

Below is a relaxed structure of RePW, with properties calculated at the PBE level.

Energy relative to the elements   0.168 eV/atom
Offset from the most stable computed form   266 meV per atom
Total DFT energy (no corrections)   -30.3 eV/f.u.

a = 4.1499 Å, b = 4.1499 Å, c = 4.1499 Å
α = 60.00°, β = 60.00°, γ = 60.00°
Last column: nearest neighbours and their distance in Å.
Element x y z (fractional)
Re  0.2500  0.2500  0.2500  4 W 2.54, 4 P 2.54
P  0.5000  0.5000  0.5000  4 Re 2.54
W  0.0000  0.0000  0.0000  4 Re 2.54

Below is a relaxed structure of Cd3Rh, with properties calculated at the PBE level.

Energy relative to the elements   -0.042 eV/atom
Total DFT energy (no corrections)   -10.3 eV/f.u.

a = 4.9649 Å, b = 4.9649 Å, c = 3.1960 Å
α = 90.00°, β = 90.00°, γ = 107.10°
Last column: nearest neighbours and their distance in Å.
Element x y z (fractional)
Rh  0.5000  0.5000  0.0000  10 Cd 2.95, 2 Rh 3.20
Cd  0.0000  0.0000  0.0000  2 Rh 2.95, 10 Cd 2.95-3.20
Cd  0.0000  0.5000  0.5000  8 Cd 2.95-3.20, 4 Rh 2.95
Cd  0.5000  0.0000  0.5000  8 Cd 2.95-3.20, 4 Rh 2.95

Below is a relaxed structure of AcPr2Nd2, with properties calculated at the PBE level.

Energy relative to the elements   0.041 eV/atom
Offset from the most stable computed form   0 meV per atom
Total DFT energy (no corrections)   -23.0 eV/f.u.

a = 5.7563 Å, b = 7.3627 Å, c = 9.2709 Å
α = 90.00°, β = 108.09°, γ = 90.00°
Last column: nearest neighbours and their distance in Å.
Element x y z (fractional)
Ac  0.6039  0.9226  0.2077  6 Pr 3.68-3.93, 7 Nd 3.80-3.94
Ac  0.3961  0.4226  0.7923  6 Pr 3.68-3.93, 7 Nd 3.80-3.94
Pr  0.6103  0.4236  0.2205  3 Ac 3.68-3.77, 7 Nd 3.75-3.93, 3 Pr 3.76-3.83
Pr  0.1991  0.1740  0.3982  5 Nd 3.39-3.69, 2 Pr 3.76
Pr  0.8009  0.6740  0.6018  5 Nd 3.39-3.69, 2 Pr 3.76
Pr  0.3897  0.9236  0.7795  3 Ac 3.68-3.77, 7 Nd 3.75-3.93, 3 Pr 3.76-3.83
Nd  0.0000  0.1728  0.0000  3 Nd 3.50-3.68, 1 Pr 3.51, 4 Ac 3.88
Nd  0.1988  0.6725  0.3975  6 Pr 3.39-3.75, 1 Nd 3.50
Nd  0.8012  0.1725  0.6025  6 Pr 3.39-3.75, 1 Nd 3.50
Nd  0.0000  0.6728  0.0000  3 Nd 3.50-3.68, 1 Pr 3.51, 4 Ac 3.88

Below is a relaxed structure of HgBiPdPb, with properties calculated at the PBE level.

Energy relative to the elements   -0.153 eV/atom
Offset from the most stable computed form   0 meV per atom
Total DFT energy (no corrections)   -13.7 eV/f.u.

a = 3.4068 Å, b = 3.4068 Å, c = 9.1443 Å
α = 90.00°, β = 90.00°, γ = 90.00°
Last column: nearest neighbours and their distance in Å.
Element x y z (fractional)
Hg  0.0000  0.0000  0.0704  4 Hg 3.41, 4 Pb 3.68, 4 Bi 3.75
Bi  0.5000  0.5000  0.3841  4 Pd 2.92
Pd  0.0000  0.0000  0.5641  4 Bi 2.92, 4 Pb 3.04
Pb  0.5000  0.5000  0.7661  4 Pd 3.04

Below is a relaxed structure of DyHoHfMg, with properties calculated at the PBE level.

Energy relative to the elements   0.185 eV/atom
Total DFT energy (no corrections)   -20.0 eV/f.u.

a = 5.3004 Å, b = 5.3004 Å, c = 5.3004 Å
α = 60.00°, β = 60.00°, γ = 60.00°
Last column: nearest neighbours and their distance in Å.
Element x y z (fractional)
Mg  0.0000  0.0000  0.0000  4 Dy 3.25, 4 Ho 3.25
Hf  0.5000  0.5000  0.5000  4 Ho 3.25, 4 Dy 3.25
Ho  0.2500  0.2500  0.2500  4 Hf 3.25, 4 Mg 3.25
Dy  0.7500  0.7500  0.7500  4 Mg 3.25, 4 Hf 3.25

Below is a relaxed structure of CsPuAgCl6, with properties calculated at the PBE level.

Total DFT energy (no corrections)   -42.8 eV/f.u.
Formation energy (no corrections)   -1.516 eV/atom

a = 6.9949 Å, b = 6.9949 Å, c = 15.7137 Å
α = 90.00°, β = 90.00°, γ = 120.00°
Last column: nearest neighbours and their distance in Å.
Element x y z (fractional)
Cs  0.0000  0.0000  0.0000  6 Cl 3.51
Cs  0.0000  0.0000  0.5000  6 Cl 3.51
Pu  0.6667  0.3333  0.2500  6 Cl 2.62
Pu  0.3333  0.6667  0.7500  6 Cl 2.62
Ag  0.3333  0.6667  0.2500  6 Cl 2.79
Ag  0.6667  0.3333  0.7500  6 Cl 2.79
Cl  0.6446  0.6249  0.1526  1 Pu 2.62, 1 Ag 2.79
Cl  0.9804  0.3554  0.1526  1 Pu 2.62, 1 Ag 2.79
Cl  0.3554  0.9804  0.6526  1 Pu 2.62, 1 Ag 2.79
Cl  0.0196  0.6446  0.8474  1 Pu 2.62, 1 Ag 2.79
Cl  0.3751  0.3554  0.3474  1 Pu 2.62, 1 Ag 2.79
Cl  0.9804  0.6249  0.3474  1 Pu 2.62, 1 Ag 2.79
Cl  0.6249  0.9804  0.8474  1 Pu 2.62, 1 Ag 2.79
Cl  0.6446  0.0196  0.3474  1 Pu 2.62, 1 Ag 2.79
Cl  0.0196  0.3751  0.6526  1 Pu 2.62, 1 Ag 2.79
Cl  0.3751  0.0196  0.1526  1 Pu 2.62, 1 Ag 2.79
Cl  0.6249  0.6446  0.6526  1 Pu 2.62, 1 Ag 2.79
Cl  0.3554  0.3751  0.8474  1 Pu 2.62, 1 Ag 2.79

Below is a relaxed structure of Ti6AlGa3, with properties calculated at the PBE level.

Energy relative to the elements   -0.362 eV/atom
Offset from the most stable computed form   0 meV per atom
Total DFT energy (no corrections)   -63.8 eV/f.u.

a = 4.5563 Å, b = 7.7376 Å, c = 9.6399 Å
α = 107.80°, β = 90.00°, γ = 90.00°
Last column: nearest neighbours and their distance in Å.
Element x y z (fractional)
Ti  0.2500  0.4562  0.0880  7 Ga 2.71-2.99, 3 Ti 2.90-3.03
Ti  0.7500  0.5438  0.9120  7 Ga 2.71-2.99, 3 Ti 2.90-3.03
Ti  0.2500  0.1468  0.2037  8 Ti 2.66-2.93
Ti  0.7500  0.8532  0.7963  8 Ti 2.66-2.93
Ti  0.2500  0.6431  0.6800  5 Ga 2.65-2.74, 1 Al 2.67, 2 Ti 2.82
Ti  0.7500  0.3569  0.3200  5 Ga 2.65-2.74, 1 Al 2.67, 2 Ti 2.82
Ti  0.2500  0.2496  0.4932  1 Ti 2.66, 4 Ga 2.73-2.85, 3 Al 2.76-2.86
Ti  0.7500  0.7504  0.5068  1 Ti 2.66, 4 Ga 2.73-2.85, 3 Al 2.76-2.86
Ti  0.2500  0.8430  0.2889  2 Ti 2.72-3.03, 4 Ga 2.75-2.92, 3 Al 2.78-2.94
Ti  0.7500  0.1570  0.7111  2 Ti 2.72-3.03, 4 Ga 2.75-2.92, 3 Al 2.78-2.94
Ti  0.2500  0.0836  0.9002  4 Ga 2.66-2.70, 1 Al 2.68, 4 Ti 2.81-2.90
Ti  0.7500  0.9164  0.0998  4 Ga 2.66-2.70, 1 Al 2.68, 4 Ti 2.81-2.90
Al  0.2500  0.9512  0.6089  8 Ti 2.67-2.94
Al  0.7500  0.0488  0.3911  8 Ti 2.67-2.94
Ga  0.2500  0.5390  0.3818  8 Ti 2.65-2.85
Ga  0.7500  0.4610  0.6182  8 Ti 2.65-2.85
Ga  0.2500  0.3615  0.7903  8 Ti 2.67-2.75
Ga  0.7500  0.6385  0.2097  8 Ti 2.67-2.75
Ga  0.2500  0.7735  0.9732  7 Ti 2.66-2.92
Ga  0.7500  0.2265  0.0268  7 Ti 2.66-2.92

Below is a relaxed structure of TcAs2, with properties calculated at the PBE level.

Energy relative to the elements   -0.107 eV/atom
Offset from the most stable computed form   84 meV per atom
Total DFT energy (no corrections)   -20.0 eV/f.u.

a = 6.0614 Å, b = 6.0614 Å, c = 3.0387 Å
α = 89.98°, β = 89.98°, γ = 29.22°
Last column: nearest neighbours and their distance in Å.
Element x y z (fractional)
Tc  0.0000  0.0000  0.0000  8 As 2.63
As  0.3715  0.3715  0.5002  4 Tc 2.63
As  0.6285  0.6285  0.4998  4 Tc 2.63

> What is the formula in the sixth record?

HgBiPdPb